# 1
Material: Nd4Mg3Cd
Method: DFT, PBE
State: optimized geometry

Values from the calculation:
DFT total energy	-3.2560	eV per atom
formation energy from the elements	-1.28	eV per formula unit

a b c (Å): 3.8857 3.8857 15.4847
angles (deg): 90.00 90.00 90.00
With the nearest neighbours (Å) after each atom.
Atoms (fractional coordinates):
Nd 0.0000 0.0000 0.1238  4 Cd 3.35, 4 Mg 3.37
Nd 0.0000 0.0000 0.6265  8 Mg 3.35-3.37
Mg 0.5000 0.5000 0.5000  8 Nd 3.37
Nd 0.0000 0.0000 0.8762  4 Cd 3.35, 4 Mg 3.37
Mg 0.5000 0.5000 0.2502  8 Nd 3.35-3.37
Cd 0.5000 0.5000 0.0000  8 Nd 3.35
Nd 0.0000 0.0000 0.3735  8 Mg 3.35-3.37
Mg 0.5000 0.5000 0.7498  8 Nd 3.35-3.37

---

# 2
Material: Sm5Ho4Tc2
Method: DFT, PBE
State: optimized geometry

Values from the calculation:
DFT total energy	-5.6383	eV per atom
formation energy from the elements	0.62	eV per formula unit

a b c (Å): 3.6493 8.5229 10.3662
angles (deg): 91.67 90.00 90.00
With the nearest neighbours (Å) after each atom.
Atoms (fractional coordinates):
Ho 0.5000 0.1808 0.4527  4 Tc 2.94-3.01, 1 Ho 3.26
Ho 0.5000 0.8221 0.1514  2 Tc 2.85
Sm 0.0000 0.1619 0.1539  1 Tc 2.86
Tc 0.0000 0.9277 0.3462  6 Ho 2.85-3.01, 2 Sm 2.86-3.13
Ho 0.5000 0.8192 0.5473  4 Tc 2.94-3.01, 1 Ho 3.26
Sm 0.0000 0.5608 0.3388  1 Tc 3.13
Sm 0.0000 0.8381 0.8461  1 Tc 2.86
Sm 0.0000 0.4392 0.6612  1 Tc 3.13
Tc 0.0000 0.0723 0.6538  6 Ho 2.85-3.01, 2 Sm 2.86-3.13
Ho 0.5000 0.1779 0.8486  2 Tc 2.85
Sm 0.0000 0.5000 0.0000  6 Sm 3.33-3.65, 4 Ho 3.62

---

# 3
Material: Nb2ReMo3
Method: DFT, PBE
State: optimized geometry

Values from the calculation:
DFT total energy	-10.9610	eV per atom
ΔE to the lowest computed polymorph	0.13	kcal/mol of atoms
formation energy from the elements	-0.68	eV per formula unit

a b c (Å): 4.5271 7.1575 6.3988
angles (deg): 90.00 90.00 71.56
With the nearest neighbours (Å) after each atom.
Atoms (fractional coordinates):
Mo 0.5000 0.0000 0.7537  2 Re 2.76, 6 Nb 2.76-2.79
Nb 0.0000 0.0000 0.5000  8 Mo 2.79-2.81
Mo 0.1684 0.6632 0.7546  3 Re 2.74-2.75, 5 Nb 2.76-2.81
Mo 0.5000 0.0000 0.2463  2 Re 2.76, 6 Nb 2.76-2.79
Re 0.3333 0.3333 0.0000  8 Mo 2.74-2.76
Mo 0.1684 0.6632 0.2454  3 Re 2.74-2.75, 5 Nb 2.76-2.81
Mo 0.8316 0.3368 0.2454  3 Re 2.74-2.75, 5 Nb 2.76-2.81
Re 0.6667 0.6667 0.0000  8 Mo 2.74-2.76
Nb 0.3328 0.3344 0.5000  8 Mo 2.76-2.79
Mo 0.8316 0.3368 0.7546  3 Re 2.74-2.75, 5 Nb 2.76-2.81
Nb 0.6672 0.6656 0.5000  8 Mo 2.76-2.79
Nb 0.0000 0.0000 0.0000  8 Mo 2.76-2.77

---

# 4
Material: KPrCuCl5
Method: DFT, PBE
State: optimized geometry

Values from the calculation:
DFT total energy	-4.1256	eV per atom

a b c (Å): 7.4615 7.4615 10.2251
angles (deg): 103.34 103.34 107.18
With the nearest neighbours (Å) after each atom.
Atoms (fractional coordinates):
K 0.6434 0.3566 0.7500  5 Cl 3.16-3.19
Cl 0.7473 0.6101 0.4257  1 Cu 2.36
Cl 0.2527 0.3899 0.5743  1 Cu 2.36
Pr 0.0000 0.0000 0.5000  6 Cl 2.77-2.79
Cu 0.3122 0.6878 0.7500  4 Cl 2.33-2.36
Cl 0.0838 0.6785 0.8728  1 Cu 2.33
Cl 0.9068 0.0932 0.7500  2 Pr 2.79
Cl 0.6785 0.0838 0.3728  1 Cu 2.33
Cl 0.6101 0.7473 0.9257  1 Cu 2.36
K 0.3566 0.6434 0.2500  5 Cl 3.16-3.19
Cl 0.3215 0.9162 0.6272  1 Cu 2.33
Cl 0.3899 0.2527 0.0743  1 Cu 2.36
Cu 0.6878 0.3122 0.2500  4 Cl 2.33-2.36
Cl 0.0932 0.9068 0.2500  2 Pr 2.79
Cl 0.9162 0.3215 0.1272  1 Cu 2.33
Pr 0.0000 0.0000 0.0000  6 Cl 2.77-2.79